[1]
A relaxed structure of RbGdBeSe3. Source: OQMD via LeMat-Bulk, functional GGA-PBE.

Unit cell a=7.9984 b=7.9984 c=10.9790 alpha=90.00 beta=90.00 gamma=150.57
Sites, in units of the cell vectors:
Be  0.4626  0.5374  0.2500
Be  0.5374  0.4626  0.7500
Gd  0.0000  0.0000  0.0000
Gd  0.0000  0.0000  0.5000
Rb  0.7429  0.2571  0.2500
Rb  0.2571  0.7429  0.7500
Se  0.3820  0.6180  0.0804
Se  0.0538  0.9462  0.2500
Se  0.3820  0.6180  0.4196
Se  0.6180  0.3820  0.5804
Se  0.9462  0.0538  0.7500
Se  0.6180  0.3820  0.9196

Calculated values
uncorrected energy = -56.5 eV/cell



[2]
A relaxed structure of CdAg2IBr3. Source: OQMD via LeMat-Bulk, functional GGA-PBE.

Unit cell a=6.2314 b=6.2435 c=7.5810 alpha=112.75 beta=113.29 gamma=91.05
Sites, in units of the cell vectors:
Ag  0.5014  0.5002  0.0034
Ag  0.7460  0.2469  0.4989
Br  0.3595  0.3750  0.2553
Br  0.8853  0.8748  0.2560
Br  0.6238  0.1159  0.7572
Cd  0.9999  0.9996  0.0012
I  0.1342  0.6376  0.7279

Calculated values
uncorrected energy = -16.8 eV/cell



[3]
A relaxed structure of LuCoPtPb. Source: OQMD via LeMat-Bulk, functional GGA-PBE.

Unit cell a=4.7403 b=4.7403 c=4.7403 alpha=60.00 beta=60.00 gamma=60.00
Sites, in units of the cell vectors:
Co  0.7500  0.7500  0.7500
Lu  0.2500  0.2500  0.2500
Pb  0.0000  0.0000  0.0000
Pt  0.5000  0.5000  0.5000

Calculated values
polymorph energy (0 for the lowest one) = 0.228 eV per atom



[4]
A relaxed structure of NdAgTe3Pb. Source: OQMD via LeMat-Bulk, functional GGA-PBE.

Unit cell a=9.1848 b=4.6290 c=18.0041 alpha=90.00 beta=90.00 gamma=90.00
Sites, in units of the cell vectors:
Ag  0.6184  0.7500  0.1344
Ag  0.1184  0.7500  0.3656
Ag  0.8816  0.2500  0.6344
Ag  0.3816  0.2500  0.8656
Nd  0.2392  0.7500  0.0342
Nd  0.7392  0.7500  0.4658
Nd  0.2608  0.2500  0.5342
Nd  0.7608  0.2500  0.9658
Pb  0.9281  0.2500  0.2348
Pb  0.4281  0.2500  0.2652
Pb  0.5719  0.7500  0.7348
Pb  0.0719  0.7500  0.7652
Te  0.8905  0.7500  0.0653
Te  0.4709  0.2500  0.0884
Te  0.1980  0.7500  0.2132
Te  0.6980  0.7500  0.2868
Te  0.9709  0.2500  0.4116
Te  0.3905  0.7500  0.4347
Te  0.6095  0.2500  0.5653
Te  0.0291  0.7500  0.5884
Te  0.3020  0.2500  0.7132
Te  0.8020  0.2500  0.7868
Te  0.5291  0.7500  0.9116
Te  0.1095  0.2500  0.9347

Calculated values
polymorph energy (0 for the lowest one) = 0.030 eV per atom



[5]
A relaxed structure of SiMoAs. Source: OQMD via LeMat-Bulk, functional GGA-PBE.

Unit cell a=4.2650 b=4.2650 c=4.2650 alpha=60.00 beta=60.00 gamma=60.00
Sites, in units of the cell vectors:
As  0.2500  0.2500  0.2500
Mo  0.0000  0.0000  0.0000
Si  0.7500  0.7500  0.7500

Calculated values
polymorph energy (0 for the lowest one) = 0.000 eV per atom



[6]
A relaxed structure of Ta3SnS6. Source: OQMD via LeMat-Bulk, functional GGA-PBE.

Unit cell a=5.7922 b=5.7922 c=14.6419 alpha=90.00 beta=90.00 gamma=120.00
Sites, in units of the cell vectors:
S  0.6643  0.0000  0.1068
S  0.0000  0.6643  0.1068
S  0.3357  0.3357  0.1068
S  0.6643  0.6643  0.3932
S  0.3357  0.0000  0.3932
S  0.0000  0.3357  0.3932
S  0.3357  0.0000  0.6068
S  0.0000  0.3357  0.6068
S  0.6643  0.6643  0.6068
S  0.3357  0.3357  0.8932
S  0.6643  0.0000  0.8932
S  0.0000  0.6643  0.8932
Sn  0.0000  0.0000  0.2500
Sn  0.0000  0.0000  0.7500
Ta  0.0000  0.0000  0.0000
Ta  0.6667  0.3333  0.0000
Ta  0.3333  0.6667  0.0000
Ta  0.0000  0.0000  0.5000
Ta  0.6667  0.3333  0.5000
Ta  0.3333  0.6667  0.5000

Calculated values
uncorrected energy = -149.1 eV/cell



[7]
A relaxed structure of Nd3Si2Ge2Pt4. Source: OQMD via LeMat-Bulk, functional GGA-PBE.

Unit cell a=12.7996 b=12.7996 c=12.7996 alpha=161.29 beta=160.62 gamma=27.06
Sites, in units of the cell vectors:
Ge  0.4496  0.4496  0.0000
Ge  0.5504  0.5504  0.0000
Nd  0.0000  0.0000  0.0000
Nd  0.6474  0.1474  0.5000
Nd  0.3526  0.8526  0.5000
Pt  0.2475  0.2475  0.0000
Pt  0.7525  0.7525  0.0000
Pt  0.8991  0.3991  0.5000
Pt  0.1009  0.6009  0.5000
Si  0.8034  0.3034  0.5000
Si  0.1966  0.6966  0.5000

Calculated values
uncorrected energy = -70.5 eV/cell



[8]
A relaxed structure of ScNbCoSb. Source: OQMD via LeMat-Bulk, functional GGA-PBE.

Unit cell a=4.6182 b=4.6182 c=4.6182 alpha=60.00 beta=60.00 gamma=60.00
Sites, in units of the cell vectors:
Co  0.7500  0.7500  0.7500
Nb  0.2500  0.2500  0.2500
Sb  0.0000  0.0000  0.0000
Sc  0.5000  0.5000  0.5000

Calculated values
polymorph energy (0 for the lowest one) = 0.000 eV per atom



[9]
A relaxed structure of Cd2F. Source: OQMD via LeMat-Bulk, functional GGA-PBE.

Unit cell a=5.5202 b=5.5202 c=5.5202 alpha=60.00 beta=60.00 gamma=60.00
Sites, in units of the cell vectors:
Cd  0.6250  0.6250  0.1250
Cd  0.6250  0.1250  0.6250
Cd  0.1250  0.6250  0.6250
Cd  0.6250  0.6250  0.6250
F  0.0000  0.0000  0.0000
F  0.2500  0.2500  0.2500

Calculated values
polymorph energy (0 for the lowest one) = 0.218 eV per atom



[10]
A relaxed structure of Ac2NiGe3. Source: OQMD via LeMat-Bulk, functional GGA-PBE.

Unit cell a=4.3461 b=4.5406 c=7.3958 alpha=90.00 beta=90.00 gamma=90.00
Sites, in units of the cell vectors:
Ac  0.0000  0.5000  0.4983
Ac  0.5000  0.5000  0.9958
Ge  0.0000  0.0000  0.1605
Ge  0.5000  0.0000  0.3570
Ge  0.0000  0.0000  0.8099
Ni  0.5000  0.0000  0.6785

Calculated values
uncorrected energy = -31.9 eV/cell



[11]
A relaxed structure of LiYNiGe. Source: OQMD via LeMat-Bulk, functional GGA-PBE.

Unit cell a=4.5316 b=4.5316 c=4.5316 alpha=60.00 beta=60.00 gamma=60.00
Sites, in units of the cell vectors:
Ge  0.2500  0.2500  0.2500
Li  0.7500  0.7500  0.7500
Ni  0.5000  0.5000  0.5000
Y  0.0000  0.0000  0.0000

Calculated values
polymorph energy (0 for the lowest one) = 0.172 eV per atom



[12]
A relaxed structure of TcB3. Source: OQMD via LeMat-Bulk, functional GGA-PBE.

Unit cell a=11.1738 b=2.8545 c=4.5495 alpha=90.00 beta=90.00 gamma=90.00
Sites, in units of the cell vectors:
B  0.1122  0.2500  0.0560
B  0.0158  0.7500  0.1380
B  0.3823  0.7500  0.1627
B  0.8823  0.7500  0.3373
B  0.5158  0.7500  0.3620
B  0.6122  0.2500  0.4440
B  0.3878  0.7500  0.5560
B  0.4842  0.2500  0.6380
B  0.1177  0.2500  0.6627
B  0.6177  0.2500  0.8373
B  0.9842  0.2500  0.8620
B  0.8878  0.7500  0.9440
Tc  0.7039  0.7500  0.1468
Tc  0.2039  0.7500  0.3532
Tc  0.7961  0.2500  0.6468
Tc  0.2961  0.2500  0.8532

Calculated values
polymorph energy (0 for the lowest one) = 0.308 eV per atom